No. 1
Material: NpPdPb2S5
Method: DFT, PBE
State: optimized geometry

Properties
The volume is 434 Å³ per cell. For the calculated total energy, the calculation gives -0.4260 Ry/atom. As for the raw formation energy: -0.66 eV/atom.

Lattice parameters (Å, degrees): 3.9449 8.8914 12.6798 90.00 90.00 102.82
Each line ends with the local moment (μB).
Sites, in units of the cell vectors:
S 0.2821 0.5642 0.6668  -0.11
S 0.3593 0.7185 0.0055  -0.07
S 0.4955 0.9910 0.7735  -0.03
S 0.7075 0.4150 0.8906  -0.13
S 0.0565 0.1130 0.0359  -0.07
S 0.9435 0.8870 0.5359  -0.07
S 0.2925 0.5850 0.3906  -0.13
S 0.5045 0.0090 0.2735  -0.03
S 0.6407 0.2815 0.5055  -0.07
S 0.7179 0.4358 0.1668  -0.11
Np 0.7930 0.5861 0.5275  2.70
Np 0.2070 0.4139 0.0275  2.70
Pb 0.1210 0.2420 0.3239  -0.01
Pb 0.0912 0.1823 0.6650  -0.01
Pb 0.8790 0.7580 0.8239  -0.01
Pb 0.9088 0.8177 0.1650  -0.01
Pd 0.4290 0.8581 0.4352  -0.10
Pd 0.5710 0.1419 0.9352  -0.10

***

No. 2
Material: NpPdPbS3
Method: DFT, PBE
State: optimized geometry

Properties
The volume is 280 Å³ per cell. For the calculated total energy, the calculation gives -0.4799 Ry/atom. As for the raw formation energy: -0.83 eV/atom.

Lattice parameters (Å, degrees): 3.9933 8.2030 8.8245 104.49 90.00 90.00
Each line ends with the local moment (μB).
Sites, in units of the cell vectors:
S 0.2500 0.5590 0.8517  -0.10
S 0.7500 0.8929 0.1491  -0.07
S 0.7500 0.4410 0.1483  -0.10
S 0.2500 0.1071 0.8509  -0.07
S 0.2500 0.7329 0.4775  -0.06
S 0.7500 0.2671 0.5225  -0.06
Pd 0.2500 0.1167 0.5485  -0.04
Pd 0.7500 0.8833 0.4515  -0.04
Np 0.7500 0.3265 0.8304  3.52
Np 0.2500 0.6735 0.1696  3.52
Pb 0.2500 0.1757 0.2383  0.01
Pb 0.7500 0.8243 0.7617  0.01

***

No. 3
Material: NpPdPbS4
Method: DFT, PBE
State: optimized geometry

Properties
The volume is 302 Å³ per cell. For the calculated total energy, the calculation gives -0.4516 Ry/atom. As for the raw formation energy: -0.66 eV/atom.

Lattice parameters (Å, degrees): 6.8246 5.5302 8.5434 90.00 110.44 90.00
Each line ends with the local moment (μB).
Sites, in units of the cell vectors:
Pb 0.2876 0.2500 0.0635  -0.01
Pb 0.7124 0.7500 0.9365  -0.01
Pd 0.7826 0.2500 0.7068  -0.19
Pd 0.2174 0.7500 0.2932  -0.19
Np 0.2626 0.2500 0.5538  3.13
Np 0.7374 0.7500 0.4462  3.13
S 0.5638 0.2500 0.4116  -0.13
S 0.0489 0.5260 0.7148  -0.10
S 0.5534 0.2500 0.8658  -0.08
S 0.9511 0.0260 0.2852  -0.10
S 0.4362 0.7500 0.5884  -0.13
S 0.0489 0.9740 0.7148  -0.10
S 0.9511 0.4740 0.2852  -0.10
S 0.4466 0.7500 0.1342  -0.08

***

No. 4
Material: NpPdPbSe3
Method: DFT, PBE
State: optimized geometry

Properties
The volume is 316 Å³ per cell. For the calculated total energy, the calculation gives -0.4494 Ry/atom. As for the raw formation energy: -0.73 eV/atom.

Lattice parameters (Å, degrees): 4.1194 7.9982 9.8406 103.07 90.00 90.00
Each line ends with the local moment (μB).
Sites, in units of the cell vectors:
Np 0.7500 0.3245 0.8432  3.46
Np 0.2500 0.6755 0.1568  3.46
Se 0.7500 0.4258 0.1425  -0.12
Se 0.2500 0.7374 0.4464  -0.10
Se 0.2500 0.0905 0.8693  -0.10
Se 0.7500 0.9095 0.1307  -0.10
Se 0.7500 0.2626 0.5536  -0.10
Se 0.2500 0.5742 0.8575  -0.12
Pd 0.2500 0.0654 0.6063  -0.14
Pd 0.7500 0.9346 0.3937  -0.14
Pb 0.2500 0.1801 0.3172  0.00
Pb 0.7500 0.8199 0.6828  0.00

***

No. 5
Material: PmNpPb2
Method: DFT, PBE
State: optimized geometry

Properties
For the formation enthalpy at 0 K, the calculation gives -0.48 eV per formula unit. The volume is 114 Å³ per cell. For the calculated total energy, the calculation gives -0.4701 Ry/atom.

Lattice parameters (Å, degrees): 3.5038 3.5038 9.2574 90.00 90.00 90.00
Each line ends with the local moment (μB).
Sites, in units of the cell vectors:
Pb 0.0000 0.0000 0.7525  -0.02
Pb 0.0000 0.0000 0.2475  -0.02
Np 0.5000 0.5000 0.0000  4.31
Pm 0.5000 0.5000 0.5000  -0.04

***

No. 6
Material: Pm2NpPb
Method: DFT, PBE
State: optimized geometry

Properties
For the formation enthalpy at 0 K, the calculation gives 0.86 eV per formula unit. The volume is 119 Å³ per cell. The energy above the lowest structure with this stoichiometry comes out at 0 meV/atom. For the calculated total energy, the calculation gives -0.4648 Ry/atom.

Lattice parameters (Å, degrees): 5.5242 5.5242 5.5242 60.00 60.00 60.00
Each line ends with the local moment (μB).
Sites, in units of the cell vectors:
Np 0.5000 0.5000 0.5000  4.49
Pm 0.7500 0.7500 0.7500  0.29
Pm 0.2500 0.2500 0.2500  0.29
Pb 0.0000 0.0000 0.0000  -0.06

***

No. 7
Material: PmNpPb2
Method: DFT, PBE
State: optimized geometry

Properties
For the formation enthalpy at 0 K, the calculation gives 1.02 eV per formula unit. The volume is 123 Å³ per cell. For the calculated total energy, the calculation gives -0.4427 Ry/atom.

Lattice parameters (Å, degrees): 3.4210 3.4210 12.3161 82.02 82.02 60.00
Each line ends with the local moment (μB).
Sites, in units of the cell vectors:
Pb 0.0886 0.0886 0.7341  0.00
Pb 0.9114 0.9114 0.2659  0.00
Np 0.5000 0.5000 0.5000  4.31
Pm 0.0000 0.0000 0.0000  0.06

***

No. 8
Material: Pm2NpPb
Method: DFT, PBE
State: optimized geometry

Properties
For the formation enthalpy at 0 K, the calculation gives 1.40 eV per formula unit. The volume is 123 Å³ per cell. The energy above the lowest structure with this stoichiometry comes out at 135 meV/atom. For the calculated total energy, the calculation gives -0.4548 Ry/atom.

Lattice parameters (Å, degrees): 3.4025 3.4025 12.4242 82.13 82.13 60.00
Each line ends with the local moment (μB).
Sites, in units of the cell vectors:
Pb 0.5000 0.5000 0.5000  0.00
Np 0.0000 0.0000 0.0000  4.37
Pm 0.9096 0.9096 0.2712  0.00
Pm 0.0904 0.0904 0.7288  0.00

***

No. 9
Material: PmNpPb2
Method: DFT, PBE
State: optimized geometry

Properties
For the formation enthalpy at 0 K, the calculation gives -0.30 eV per formula unit. The volume is 114 Å³ per cell. For the calculated total energy, the calculation gives -0.4669 Ry/atom.

Lattice parameters (Å, degrees): 3.2244 5.9588 5.9588 90.00 90.00 90.00
Each line ends with the local moment (μB).
Sites, in units of the cell vectors:
Pm 0.5000 0.5000 0.5000  0.13
Np 0.5000 0.0000 0.0000  4.19
Pb 0.0000 0.0000 0.5000  -0.04
Pb 0.0000 0.5000 0.0000  -0.04

***

No. 10
Material: Np2Pt9Pb
Method: DFT, PBE
State: optimized geometry

Properties
For the formation enthalpy at 0 K, the calculation gives -5.29 eV per formula unit. The volume is 214 Å³ per cell. For the calculated total energy, the calculation gives -0.5466 Ry/atom.

Lattice parameters (Å, degrees): 4.1444 4.1444 12.4681 90.00 90.00 90.00
Each line ends with the local moment (μB).
Sites, in units of the cell vectors:
Pt 0.0000 0.5000 0.5000  -0.06
Pt 0.5000 0.0000 0.1705  -0.03
Pt 0.0000 0.5000 0.8295  -0.03
Pt 0.0000 0.5000 0.1705  -0.03
Pt 0.5000 0.5000 0.3320  -0.04
Pt 0.5000 0.0000 0.5000  -0.06
Pt 0.5000 0.5000 0.0000  -0.01
Pt 0.5000 0.5000 0.6680  -0.04
Pt 0.5000 0.0000 0.8295  -0.03
Np 0.0000 0.0000 0.3338  3.16
Np 0.0000 0.0000 0.6662  3.16
Pb 0.0000 0.0000 0.0000  0.01

***

No. 11
Material: NpPt2Pb
Method: DFT, PBE
State: optimized geometry

Properties
For the formation enthalpy at 0 K, the calculation gives -0.19 eV per formula unit. The volume is 105 Å³ per cell. For the calculated total energy, the calculation gives -0.5314 Ry/atom.

Lattice parameters (Å, degrees): 3.6446 3.6446 9.3763 78.79 78.79 60.00
Each line ends with the local moment (μB).
Sites, in units of the cell vectors:
Pt 0.1027 0.1027 0.6919  -0.13
Pt 0.8973 0.8973 0.3081  -0.13
Pb 0.0000 0.0000 0.0000  0.03
Np 0.5000 0.5000 0.5000  3.07

***

No. 12
Material: NpPt2Pb
Method: DFT, PBE
State: optimized geometry

Properties
For the formation enthalpy at 0 K, the calculation gives -1.15 eV per formula unit. The volume is 87 Å³ per cell. For the calculated total energy, the calculation gives -0.5490 Ry/atom.

Lattice parameters (Å, degrees): 3.5030 3.5030 7.1173 90.00 90.00 90.00
Each line ends with the local moment (μB).
Sites, in units of the cell vectors:
Pb 0.5000 0.5000 0.5000  0.04
Pt 0.0000 0.0000 0.7764  -0.05
Pt 0.0000 0.0000 0.2236  -0.05
Np 0.5000 0.5000 0.0000  3.50

***

No. 13
Material: Pu2NpPb
Method: DFT, PBE
State: optimized geometry

Properties
For the formation enthalpy at 0 K, the calculation gives 1.10 eV per formula unit. The volume is 102 Å³ per cell. For the calculated total energy, the calculation gives -0.8124 Ry/atom.

Lattice parameters (Å, degrees): 3.2767 3.2767 9.4684 90.00 90.00 90.00
Each line ends with the local moment (μB).
Sites, in units of the cell vectors:
Pb 0.5000 0.5000 0.5000  -0.03
Pu 0.0000 0.0000 0.7690  5.22
Pu 0.0000 0.0000 0.2310  5.22
Np 0.5000 0.5000 0.0000  3.20

***

No. 14
Material: PuNpPb
Method: DFT, PBE
State: optimized geometry

Properties
For the formation enthalpy at 0 K, the calculation gives 0.79 eV per formula unit. The volume is 146 Å³ per cell. For the calculated total energy, the calculation gives -0.7397 Ry/atom.

Lattice parameters (Å, degrees): 6.2675 3.0415 8.4350 100.39 111.81 90.00
Each line ends with the local moment (μB).
Sites, in units of the cell vectors:
Np 0.7494 0.5000 0.0000  -2.53
Np 0.2506 0.5000 0.0000  -2.53
Pu 0.1252 0.6252 0.2504  4.33
Pu 0.8748 0.3748 0.7496  4.33
Pb 0.6667 0.1667 0.3334  0.00
Pb 0.3333 0.8333 0.6666  0.00

***

No. 15
Material: RbNpPb2
Method: DFT, PBE
State: optimized geometry

Properties
For the formation enthalpy at 0 K, the calculation gives 1.47 eV per formula unit. The volume is 137 Å³ per cell. For the calculated total energy, the calculation gives -0.3648 Ry/atom.

Lattice parameters (Å, degrees): 3.5439 3.5439 12.7904 82.04 82.04 60.00
Each line ends with the local moment (μB).
Sites, in units of the cell vectors:
Pb 0.0936 0.0936 0.7191  0.01
Pb 0.9064 0.9064 0.2809  0.01
Rb 0.0000 0.0000 0.0000  -0.01
Np 0.5000 0.5000 0.5000  4.36

***

No. 16
Material: Rb2NpPb2S6
Method: DFT, PBE
State: optimized geometry

Properties
The volume is 350 Å³ per cell. For the calculated total energy, the calculation gives -0.3843 Ry/atom. As for the raw formation energy: -0.95 eV/atom.

Lattice parameters (Å, degrees): 7.1889 7.1889 8.1144 99.31 99.31 118.52
Each line ends with the local moment (μB).
Sites, in units of the cell vectors:
Rb 0.8225 0.1775 0.0000  0.00
Rb 0.1775 0.8225 0.0000  0.00
S 0.2178 0.2178 0.3103  -0.07
S 0.7822 0.7822 0.6897  -0.07
S 0.6378 0.9343 0.3094  -0.07
S 0.0657 0.3622 0.6906  -0.07
S 0.3622 0.0657 0.6906  -0.07
S 0.9343 0.6378 0.3094  -0.07
Np 0.0000 0.0000 0.5000  1.66
Pb 0.6680 0.3320 0.5000  -0.01
Pb 0.3320 0.6680 0.5000  -0.01

***

No. 17
Material: Rb2Np3PbS8
Method: DFT, PBE
State: optimized geometry

Properties
The volume is 457 Å³ per cell. For the calculated total energy, the calculation gives -0.4923 Ry/atom. As for the raw formation energy: -1.16 eV/atom.

Lattice parameters (Å, degrees): 8.1371 8.1371 9.2476 63.90 63.90 60.00
Each line ends with the local moment (μB).
Sites, in units of the cell vectors:
S 0.2877 0.7619 0.1886  -0.09
S 0.6904 0.2394 0.8307  -0.13
S 0.7619 0.7619 0.1886  -0.09
S 0.2394 0.2394 0.8307  -0.13
S 0.2722 0.2722 0.1834  -0.11
S 0.7619 0.2877 0.1886  -0.09
S 0.7219 0.7219 0.8343  -0.11
S 0.2394 0.6904 0.8307  -0.13
Np 0.4969 0.0029 0.0033  3.28
Np 0.0029 0.4969 0.0033  3.28
Np 0.4969 0.4969 0.0033  3.28
Rb 0.4969 0.4969 0.5094  0.00
Rb 0.1347 0.1347 0.5958  0.00
Pb 0.8896 0.8896 0.3311  0.00

***

No. 18
Material: Rb4Np3PbS8
Method: DFT, PBE
State: optimized geometry

Properties
The volume is 464 Å³ per cell. For the calculated total energy, the calculation gives -0.4574 Ry/atom. As for the raw formation energy: -1.26 eV/atom.

Lattice parameters (Å, degrees): 8.3779 9.0332 8.3778 117.64 120.00 90.00
Each line ends with the local moment (μB).
Sites, in units of the cell vectors:
S 0.7097 0.6927 0.9513  -0.07
S 0.2416 0.6927 0.9513  -0.07
S 0.7296 0.6888 0.4592  -0.08
S 0.2903 0.3073 0.0487  -0.07
S 0.2416 0.6927 0.4831  -0.07
S 0.2704 0.3112 0.5408  -0.08
S 0.7584 0.3073 0.0487  -0.07
S 0.7584 0.3073 0.5169  -0.07
Rb 0.5000 0.0000 0.0000  0.00
Rb 0.5000 0.0000 0.5000  0.00
Rb 0.0000 0.0000 0.0000  0.00
Rb 0.0000 0.0000 0.5000  0.00
Np 0.5000 0.5000 0.5000  3.72
Np 0.5000 0.5000 0.0000  3.72
Np 0.0000 0.5000 0.5000  3.72
Pb 0.0000 0.5000 0.0000  0.00

***

No. 19
Material: Rb3NpPb2S6
Method: DFT, PBE
State: optimized geometry

Properties
The volume is 357 Å³ per cell. For the calculated total energy, the calculation gives -0.3705 Ry/atom. As for the raw formation energy: -1.04 eV/atom.

Lattice parameters (Å, degrees): 7.3841 7.3841 7.9488 98.92 98.92 119.90
Each line ends with the local moment (μB).
Sites, in units of the cell vectors:
Pb 0.3342 0.6658 0.0000  -0.01
Pb 0.6658 0.3342 0.0000  -0.01
Rb 0.1750 0.8250 0.5000  0.00
Rb 0.8250 0.1750 0.5000  0.00
Rb 0.5000 0.5000 0.5000  0.00
S 0.6362 0.9351 0.8047  -0.07
S 0.2308 0.2308 0.8027  -0.08
S 0.0649 0.3638 0.1953  -0.07
S 0.9351 0.6362 0.8047  -0.07
S 0.7692 0.7692 0.1973  -0.08
S 0.3638 0.0649 0.1953  -0.07
Np 0.0000 0.0000 0.0000  2.66

***

No. 20
Material: Rb4Np3PbSe8
Method: DFT, PBE
State: optimized geometry

Properties
The volume is 522 Å³ per cell. For the calculated total energy, the calculation gives -0.4267 Ry/atom. As for the raw formation energy: -1.16 eV/atom.

Lattice parameters (Å, degrees): 8.7162 9.3964 8.7172 117.67 120.00 90.00
Each line ends with the local moment (μB).
Sites, in units of the cell vectors:
Rb 0.5000 0.0000 0.5000  0.00
Rb 0.0000 0.0000 0.5000  0.00
Rb 0.5000 0.0000 0.0000  0.00
Rb 0.0000 0.0000 0.0000  0.00
Se 0.7585 0.3034 0.5170  -0.07
Se 0.2416 0.6967 0.9554  -0.07
Se 0.2415 0.6966 0.4830  -0.07
Se 0.7312 0.6935 0.4625  -0.08
Se 0.2862 0.3033 0.0446  -0.07
Se 0.7138 0.6967 0.9554  -0.07
Se 0.7584 0.3033 0.0446  -0.07
Se 0.2688 0.3065 0.5375  -0.08
Np 0.5000 0.5000 0.5000  3.79
Np 0.0000 0.5000 0.5000  3.79
Np 0.5000 0.5000 0.0000  3.79
Pb 0.0000 0.5000 0.0000  0.00